This record from Alexandria describes a relaxed Cr3AgP crystal. The functional is PBE-GGA.

Cell: 4.9324 4.9324 4.9324 Å, 90.00 90.00 90.00°
With the nearest neighbours (Å) after each atom.
Fractional positions:
Cr 0.0000 0.0000 0.5000  2 Ag 2.47
Cr 0.0000 0.5000 0.0000  2 Ag 2.47
Cr 0.5000 0.0000 0.0000  2 Ag 2.47
Ag 0.0000 0.0000 0.0000  6 Cr 2.47
P 0.5000 0.5000 0.5000  12 Cr 3.49

Results
size of the total moment	13.27	μB per formula unit
ΔE to the lowest computed polymorph	1095.6	meV/atom
calculated formation energy	1.643	eV/atom
D(E_F)	4.77	states/eV/cell
SG	No. 221